Entry 1:
# GGA-PBE AuSN2F, relaxed
data_AuSN2F
_cell_length_a 3.6958
_cell_length_b 3.6958
_cell_length_c 6.7948
_cell_angle_alpha 90.00
_cell_angle_beta 90.00
_cell_angle_gamma 90.00
_symmetry_space_group_name_H-M 'P 1'
_symmetry_Int_Tables_number 1
_symmetry_space_group_name_Hall 'P 1'
loop_
_atom_site_label
_atom_site_type_symbol
_atom_site_fract_x
_atom_site_fract_y
_atom_site_fract_z
Au1 Au 0.0000 0.0000 0.0000
S1 S 0.5000 0.5000 0.0000
N1 N 0.0000 0.5000 0.5000
N2 N 0.5000 0.0000 0.5000
F1 F 0.5000 0.5000 0.5000
# Energy relative to the lowest polymorph listed for this composition ... 462 kJ/mol of formula units
# E_tot ... -3.046 eV/atom
# Raw formation energy ... 2140 meV/atom



Entry 2:
# GGA-PBE Ir3Pb, relaxed
data_Ir3Pb
_cell_length_a 4.6786
_cell_length_b 5.7748
_cell_length_c 4.9400
_cell_angle_alpha 90.00
_cell_angle_beta 90.00
_cell_angle_gamma 90.00
_symmetry_space_group_name_H-M 'P 1'
_symmetry_Int_Tables_number 1
_symmetry_space_group_name_Hall 'P 1'
loop_
_atom_site_label
_atom_site_type_symbol
_atom_site_fract_x
_atom_site_fract_y
_atom_site_fract_z
Ir1 Ir 0.2500 0.0038 0.1664
Ir2 Ir 0.2500 0.4962 0.1664
Ir3 Ir 0.2500 0.7500 0.7066
Ir4 Ir 0.7500 0.2500 0.2934
Ir5 Ir 0.7500 0.5038 0.8336
Ir6 Ir 0.7500 0.9962 0.8336
Pb1 Pb 0.2500 0.2500 0.6615
Pb2 Pb 0.7500 0.7500 0.3385
# E_tot ... -7.085 eV/atom
# ΔE_f ... 0.49 eV/atom



Entry 3:
# GGA-PBE Mn5CoNi, relaxed
data_Mn5CoNi
_cell_length_a 6.3540
_cell_length_b 6.3540
_cell_length_c 6.3540
_cell_angle_alpha 125.39
_cell_angle_beta 102.92
_cell_angle_gamma 101.38
_symmetry_space_group_name_H-M 'P 1'
_symmetry_Int_Tables_number 1
_symmetry_space_group_name_Hall 'P 1'
loop_
_atom_site_label
_atom_site_type_symbol
_atom_site_fract_x
_atom_site_fract_y
_atom_site_fract_z
Mn1 Mn 0.2467 0.2678 0.5211
Mn2 Mn 0.2467 0.7255 0.9789
Mn3 Mn 0.2494 0.0000 0.7494
Mn4 Mn 0.2494 0.5000 0.2494
Mn5 Mn 0.4850 0.2350 0.2500
Mn6 Mn 0.5150 0.7650 0.7500
Mn7 Mn 0.7506 0.0000 0.2506
Mn8 Mn 0.7506 0.5000 0.7506
Mn9 Mn 0.7533 0.2745 0.0211
Mn10 Mn 0.7533 0.7322 0.4789
Co1 Co 0.0104 0.7604 0.2500
Co2 Co 0.9896 0.2396 0.7500
Ni1 Ni 0.0000 0.0000 0.0000
Ni2 Ni 0.5000 0.0000 0.5000
# E_tot ... -8.182 eV/atom
# ΔE_f ... 0.21 eV/atom



Q: E_tot of number 1 (AuSN2F)?
A: -3.046 eV/atom